# 1
An optimized crystal structure of Tb4Pr8Ho. Source: the Alexandria database, functional PBE-GGA.

abc: 7.3239 7.3239 29.4466
angles: 90.00 90.00 120.00
Space group R-3m (No. 166, hexagonal axes)
One atom of each set of equivalent atoms:
Tb 0.0000 0.0000 0.0000
Tb 0.0000 0.5000 0.0000
Pr 0.0000 0.0000 0.2115
Pr 0.0291 0.5146 0.7633
Ho 0.0000 0.0000 0.5000

Total DFT energy (no corrections) ... -4.5326 eV/atom
DFT formation energy ... 0.19 eV/atom



# 2
An optimized crystal structure of AcCePm. Source: the Alexandria database, functional PBE-GGA.

abc: 3.708 3.708 15.579
angles: 90.00 90.00 90.00
Space group I4mm (No. 107)
One atom of each set of equivalent atoms:
Ac 0.000 0.000 0.000
Ce 0.000 0.000 0.664
Pm 0.000 0.000 0.316

Offset from the most stable computed form ... 0.000 eV per atom
Total DFT energy (no corrections) ... -4.8170 eV/atom
DFT formation energy ... 0.11 eV/atom



# 3
An optimized crystal structure of VAs3Rh. Source: the Alexandria database, functional PBE-GGA.

abc: 4.644 4.644 4.644
angles: 90.00 90.00 90.00
Space group Pm-3m (No. 221)
One atom of each set of equivalent atoms:
V 0.000 0.000 0.000
As 0.000 0.000 0.500
Rh 0.500 0.500 0.500

Total DFT energy (no corrections) ... -5.5800 eV/atom
DFT formation energy ... 0.50 eV/atom



# 4
An optimized crystal structure of BaZnCd2Pd. Source: the Alexandria database, functional PBE-GGA.

abc: 4.641 4.691 11.834
angles: 90.00 90.00 90.00
Space group Imm2 (No. 44)
One atom of each set of equivalent atoms:
Ba 0.000 0.000 0.000
Zn 0.000 0.500 0.772
Cd 0.000 0.000 0.618
Cd 0.000 0.500 0.263
Pd 0.000 0.000 0.385

Offset from the most stable computed form ... 0.000 eV per atom
Total DFT energy (no corrections) ... -2.3857 eV/atom
DFT formation energy ... -0.34 eV/atom



# 5
An optimized crystal structure of CoTeAs2. Source: the Alexandria database, functional PBE-GGA.

abc: 2.904 2.904 10.730
angles: 90.00 90.00 90.00
Space group P4/mmm (No. 123)
One atom of each set of equivalent atoms:
Co 0.000 0.000 0.000
Te 0.000 0.000 0.500
As 0.500 0.500 0.141

Total DFT energy (no corrections) ... -4.8464 eV/atom
Formation energy (no corrections) ... 0.040 eV/atom